A plane-wave DFT calculation with PBE-GGA was carried out for GeF3 after structural relaxation.

Properties
The calculation puts the density at 3.6 g/cm³. Its uncorrected energy is -40.15 eV/cell. The value obtained for the density of states at the Fermi level is 0.36 states/eV/atom. Its space group is R-3m, No. 166. The uncorrected formation energy comes out at -0.788 eV per atom.

a = 2.848 Å, b = 2.848 Å, c = 25.870 Å
α = 90.00°, β = 90.00°, γ = 120.00°
Fractional positions:
Ge 0.000 0.000 0.000
Ge 0.333 0.667 0.667
Ge 0.667 0.333 0.333
F 0.000 0.000 0.068
F 0.000 0.000 0.500
F 0.000 0.000 0.932
F 0.333 0.667 0.167
F 0.333 0.667 0.599
F 0.333 0.667 0.735
F 0.667 0.333 0.265
F 0.667 0.333 0.401
F 0.667 0.333 0.833

A plane-wave DFT calculation with PBE-GGA was carried out for GeF after structural relaxation.

Properties
The calculation puts the density at 3.4 g/cm³. Its uncorrected energy is -53.36 eV/cell. The value obtained for the density of states at the Fermi level is 0.46 states/eV/atom. The value obtained for the offset from the most stable computed form is 240 meV/atom. Its space group is P6_3/m, No. 176. The uncorrected formation energy comes out at -1.203 eV per atom.

a = 10.642 Å, b = 10.642 Å, c = 2.776 Å
α = 90.00°, β = 90.00°, γ = 120.00°
Fractional positions:
Ge 0.185 0.692 0.250
Ge 0.308 0.492 0.250
Ge 0.492 0.185 0.750
Ge 0.508 0.815 0.250
Ge 0.692 0.508 0.750
Ge 0.815 0.308 0.750
F 0.107 0.398 0.250
F 0.291 0.893 0.250
F 0.398 0.291 0.750
F 0.602 0.709 0.250
F 0.709 0.107 0.750
F 0.893 0.602 0.750

A plane-wave DFT calculation with PBE-GGA was carried out for GeF after structural relaxation.

Properties
The calculation puts the density at 4.5 g/cm³. Its uncorrected energy is -31.97 eV/cell. The value obtained for the density of states at the Fermi level is 0.36 states/eV/atom. The value obtained for the offset from the most stable computed form is 691 meV/atom. Its space group is Fm-3m, No. 225. The uncorrected formation energy comes out at -0.752 eV per atom.

a = 5.120 Å, b = 5.120 Å, c = 5.120 Å
α = 90.00°, β = 90.00°, γ = 90.00°
Fractional positions:
Ge 0.000 0.000 0.000
Ge 0.000 0.500 0.500
Ge 0.500 0.000 0.500
Ge 0.500 0.500 0.000
F 0.000 0.000 0.500
F 0.000 0.500 0.000
F 0.500 0.000 0.000
F 0.500 0.500 0.500

A plane-wave DFT calculation with PBE-GGA was carried out for GeF after structural relaxation.

Properties
The calculation puts the density at 4.4 g/cm³. Its uncorrected energy is -71.68 eV/cell. The value obtained for the density of states at the Fermi level is 0.39 states/eV/atom. The value obtained for the offset from the most stable computed form is 207 meV/atom. Its space group is I4/mmm, No. 139. The uncorrected formation energy comes out at -1.236 eV per atom.

a = 9.739 Å, b = 9.739 Å, c = 2.890 Å
α = 90.00°, β = 90.00°, γ = 90.00°
Fractional positions:
Ge 0.000 0.294 0.000
Ge 0.000 0.706 0.000
Ge 0.206 0.500 0.500
Ge 0.294 0.000 0.000
Ge 0.500 0.206 0.500
Ge 0.500 0.794 0.500
Ge 0.706 0.000 0.000
Ge 0.794 0.500 0.500
F 0.142 0.142 0.000
F 0.142 0.858 0.000
F 0.358 0.358 0.500
F 0.358 0.642 0.500
F 0.642 0.358 0.500
F 0.642 0.642 0.500
F 0.858 0.142 0.000
F 0.858 0.858 0.000

A plane-wave DFT calculation with PBE-GGA was carried out for GeF3 after structural relaxation.

Properties
The calculation puts the density at 3.8 g/cm³. Its uncorrected energy is -35.41 eV/cell. The value obtained for the density of states at the Fermi level is 0.32 states/eV/atom. Its space group is Imm2, No. 44. The uncorrected formation energy comes out at -1.868 eV per atom.

a = 2.962 Å, b = 7.656 Å, c = 5.000 Å
α = 90.00°, β = 90.00°, γ = 90.00°
Fractional positions:
Ge 0.000 0.000 0.000
Ge 0.500 0.500 0.500
F 0.000 0.340 0.353
F 0.000 0.500 0.779
F 0.000 0.660 0.353
F 0.500 0.000 0.279
F 0.500 0.160 0.853
F 0.500 0.840 0.853

A plane-wave DFT calculation with PBE-GGA was carried out for GeF3 after structural relaxation.

Properties
The calculation puts the density at 3.2 g/cm³. Its uncorrected energy is -74.01 eV/cell. The value obtained for the density of states at the Fermi level is 0.18 states/eV/atom. Its space group is I-4m2, No. 119. The uncorrected formation energy comes out at -2.068 eV per atom.

a = 7.921 Å, b = 7.921 Å, c = 7.921 Å
α = 95.15°, β = 95.15°, γ = 145.12°
Fractional positions:
Ge 0.405 0.163 0.242
Ge 0.837 0.079 0.242
Ge 0.837 0.595 0.758
Ge 0.921 0.163 0.758
F 0.134 0.134 0.268
F 0.134 0.866 0.000
F 0.324 0.510 0.813
F 0.490 0.303 0.813
F 0.490 0.676 0.187
F 0.623 0.123 0.245
F 0.623 0.377 0.500
F 0.697 0.510 0.187
F 0.866 0.134 0.000
F 0.866 0.866 0.732
F 0.877 0.123 0.500
F 0.877 0.377 0.755

A plane-wave DFT calculation with PBE-GGA was carried out for GeH2F4 after structural relaxation.

Properties
The calculation puts the density at 2.5 g/cm³. Its uncorrected energy is -30.20 eV/cell. The value obtained for the density of states at the Fermi level is 0.00 states/eV/atom. The value obtained for the offset from the most stable computed form is 0 meV/atom. Its space group is P-1, No. 2.

a = 3.007 Å, b = 5.658 Å, c = 6.186 Å
α = 92.08°, β = 101.66°, γ = 104.76°
Fractional positions:
Ge 0.000 0.000 0.000
H 0.442 0.465 0.542
H 0.558 0.535 0.458
F 0.053 0.247 0.843
F 0.360 0.859 0.828
F 0.640 0.141 0.172
F 0.947 0.753 0.157

A plane-wave DFT calculation with PBE-GGA was carried out for GeHF5 after structural relaxation.

Properties
The calculation puts the density at 2.5 g/cm³. Its uncorrected energy is -64.37 eV/cell. The value obtained for the density of states at the Fermi level is 0.00 states/eV/atom. Its space group is P1, No. 1.

a = 4.304 Å, b = 7.421 Å, c = 8.276 Å
α = 115.31°, β = 103.21°, γ = 93.92°
Fractional positions:
Ge 0.000 0.000 0.000
Ge 0.198 0.697 0.396
H 0.144 0.354 0.712
H 0.629 0.339 0.682
F 0.063 0.905 0.535
F 0.134 0.791 0.863
F 0.318 0.200 0.137
F 0.379 0.759 0.258
F 0.381 0.386 0.777
F 0.469 0.626 0.534
F 0.727 0.069 0.861
F 0.801 0.306 0.617
F 0.821 0.941 0.140
F 0.879 0.498 0.257

A plane-wave DFT calculation with PBE-GGA was carried out for Ge2HF6 after structural relaxation.

Properties
The calculation puts the density at 2.8 g/cm³. Its uncorrected energy is -38.99 eV/cell. The value obtained for the density of states at the Fermi level is 0.00 states/eV/atom. Its space group is R3, No. 146.

a = 7.020 Å, b = 7.020 Å, c = 7.020 Å
α = 44.41°, β = 44.41°, γ = 44.41°
Fractional positions:
Ge 0.000 0.000 0.000
Ge 0.130 0.130 0.130
H 0.730 0.730 0.730
F 0.175 0.460 0.851
F 0.261 0.988 0.653
F 0.460 0.851 0.175
F 0.653 0.261 0.988
F 0.851 0.175 0.460
F 0.988 0.653 0.261

A plane-wave DFT calculation with PBE-GGA was carried out for Ge2H2F7 after structural relaxation.

Properties
The calculation puts the density at 3.3 g/cm³. Its uncorrected energy is -47.24 eV/cell. The value obtained for the density of states at the Fermi level is 0.32 states/eV/atom. Its space group is C2/m, No. 12.

a = 5.426 Å, b = 5.426 Å, c = 4.950 Å
α = 91.99°, β = 91.99°, γ = 103.70°
Fractional positions:
Ge 0.183 0.817 0.000
Ge 0.817 0.183 0.000
H 0.374 0.374 0.354
H 0.626 0.626 0.646
F 0.088 0.088 0.783
F 0.121 0.427 0.214
F 0.427 0.121 0.214
F 0.500 0.500 0.500
F 0.573 0.879 0.786
F 0.879 0.573 0.786
F 0.912 0.912 0.217

A plane-wave DFT calculation with PBE-GGA was carried out for GeH6F12 after structural relaxation.

Properties
The calculation puts the density at 2.4 g/cm³. Its uncorrected energy is -75.51 eV/cell. The value obtained for the density of states at the Fermi level is 0.72 states/eV/atom. The value obtained for the offset from the most stable computed form is 112 meV/atom. Its space group is R-3, No. 148.

a = 5.998 Å, b = 5.998 Å, c = 5.998 Å
α = 91.58°, β = 91.58°, γ = 91.58°
Fractional positions:
Ge 0.000 0.000 0.000
H 0.269 0.311 0.522
H 0.311 0.522 0.269
H 0.478 0.731 0.689
H 0.522 0.269 0.311
H 0.689 0.478 0.731
H 0.731 0.689 0.478
F 0.059 0.910 0.716
F 0.090 0.284 0.941
F 0.197 0.539 0.378
F 0.284 0.941 0.090
F 0.378 0.197 0.539
F 0.461 0.622 0.803
F 0.539 0.378 0.197
F 0.622 0.803 0.461
F 0.716 0.059 0.910
F 0.803 0.461 0.622
F 0.910 0.716 0.059
F 0.941 0.090 0.284

A plane-wave DFT calculation with PBE-GGA was carried out for GeH2F4 after structural relaxation.

Properties
The calculation puts the density at 3.6 g/cm³. Its uncorrected energy is -54.13 eV/cell. The value obtained for the density of states at the Fermi level is 0.00 states/eV/atom. The value obtained for the offset from the most stable computed form is 448 meV/atom. Its space group is I-42m, No. 121.

a = 3.757 Å, b = 3.757 Å, c = 9.813 Å
α = 90.00°, β = 90.00°, γ = 90.00°
Fractional positions:
Ge 0.000 0.000 0.000
Ge 0.500 0.500 0.500
H 0.000 0.500 0.250
H 0.000 0.500 0.750
H 0.500 0.000 0.250
H 0.500 0.000 0.750
F 0.242 0.242 0.664
F 0.242 0.758 0.336
F 0.258 0.258 0.164
F 0.258 0.742 0.836
F 0.742 0.258 0.836
F 0.742 0.742 0.164
F 0.758 0.242 0.336
F 0.758 0.758 0.664

A plane-wave DFT calculation with PBE-GGA was carried out for GeH6F12 after structural relaxation.

Properties
The calculation puts the density at 2.3 g/cm³. Its uncorrected energy is -77.63 eV/cell. The value obtained for the density of states at the Fermi level is 0.00 states/eV/atom. The value obtained for the offset from the most stable computed form is 0 meV/atom. Its space group is P-1, No. 2.

a = 5.820 Å, b = 5.991 Å, c = 6.745 Å
α = 82.46°, β = 77.95°, γ = 75.49°
Fractional positions:
Ge 0.000 0.000 0.000
H 0.053 0.801 0.643
H 0.215 0.311 0.293
H 0.255 0.302 0.024
H 0.745 0.698 0.976
H 0.785 0.689 0.707
H 0.947 0.199 0.357
F 0.059 0.251 0.435
F 0.156 0.255 0.909
F 0.173 0.850 0.771
F 0.232 0.869 0.135
F 0.331 0.352 0.153
F 0.449 0.414 0.566
F 0.551 0.586 0.434
F 0.669 0.648 0.847
F 0.768 0.131 0.865
F 0.827 0.150 0.229
F 0.844 0.745 0.091
F 0.941 0.749 0.565

A plane-wave DFT calculation with PBE-GGA was carried out for GeHF4 after structural relaxation.

Properties
The calculation puts the density at 3.1 g/cm³. Its uncorrected energy is -49.71 eV/cell. The value obtained for the density of states at the Fermi level is 0.45 states/eV/atom. Its space group is I-4, No. 82.

a = 4.762 Å, b = 4.762 Å, c = 7.174 Å
α = 90.00°, β = 90.00°, γ = 90.00°
Fractional positions:
Ge 0.000 0.000 0.000
Ge 0.500 0.500 0.500
H 0.000 0.500 0.750
H 0.500 0.000 0.250
F 0.171 0.707 0.865
F 0.207 0.329 0.635
F 0.293 0.171 0.135
F 0.329 0.793 0.365
F 0.671 0.207 0.365
F 0.707 0.829 0.135
F 0.793 0.671 0.635
F 0.829 0.293 0.865

A plane-wave DFT calculation with PBE-GGA was carried out for GeH3F6 after structural relaxation.

Properties
The calculation puts the density at 2.6 g/cm³. Its uncorrected energy is -88.73 eV/cell. The value obtained for the density of states at the Fermi level is 0.00 states/eV/atom. Its space group is R-3, No. 148.

a = 6.331 Å, b = 6.331 Å, c = 6.331 Å
α = 97.67°, β = 97.67°, γ = 97.67°
Fractional positions:
Ge 0.000 0.000 0.000
Ge 0.500 0.500 0.500
H 0.056 0.385 0.302
H 0.302 0.056 0.385
H 0.385 0.302 0.056
H 0.615 0.698 0.944
H 0.698 0.944 0.615
H 0.944 0.615 0.698
F 0.067 0.815 0.778
F 0.155 0.525 0.360
F 0.185 0.222 0.933
F 0.222 0.933 0.185
F 0.360 0.155 0.525
F 0.475 0.640 0.845
F 0.525 0.360 0.155
F 0.640 0.845 0.475
F 0.778 0.067 0.815
F 0.815 0.778 0.067
F 0.845 0.475 0.640
F 0.933 0.185 0.222

A plane-wave DFT calculation with PBE-GGA was carried out for Ge2HF8 after structural relaxation.

Properties
The calculation puts the density at 3.0 g/cm³. Its uncorrected energy is -48.24 eV/cell. The value obtained for the density of states at the Fermi level is 0.00 states/eV/atom. Its space group is C2/m, No. 12.

a = 6.665 Å, b = 6.665 Å, c = 3.858 Å
α = 92.32°, β = 92.32°, γ = 76.92°
Fractional positions:
Ge 0.239 0.239 0.212
Ge 0.761 0.761 0.788
H 0.000 0.000 0.500
F 0.024 0.669 0.797
F 0.236 0.236 0.715
F 0.331 0.976 0.203
F 0.402 0.402 0.240
F 0.598 0.598 0.760
F 0.669 0.024 0.797
F 0.764 0.764 0.285
F 0.976 0.331 0.203

A plane-wave DFT calculation with PBE-GGA was carried out for MgGeH12O6F6 after structural relaxation.

Properties
The calculation puts the density at 2.0 g/cm³. Its uncorrected energy is -259.52 eV/cell. The value obtained for the density of states at the Fermi level is 0.00 states/eV/atom. Its space group is P2_1/c, No. 14.

a = 6.639 Å, b = 9.680 Å, c = 8.585 Å
α = 90.00°, β = 100.39°, γ = 90.00°
Fractional positions:
Mg 0.000 0.000 0.000
Mg 0.000 0.500 0.500
Ge 0.500 0.000 0.500
Ge 0.500 0.500 0.000
H 0.043 0.071 0.315
H 0.043 0.429 0.815
H 0.192 0.533 0.242
H 0.192 0.967 0.742
H 0.240 0.674 0.704
H 0.240 0.826 0.204
H 0.243 0.733 0.532
H 0.243 0.767 0.032
H 0.268 0.218 0.020
H 0.268 0.282 0.520
H 0.377 0.100 0.134
H 0.377 0.400 0.634
H 0.623 0.600 0.366
H 0.623 0.900 0.866
H 0.732 0.718 0.480
H 0.732 0.782 0.980
H 0.757 0.233 0.968
H 0.757 0.267 0.468
H 0.760 0.174 0.796
H 0.760 0.326 0.296
H 0.808 0.033 0.258
H 0.808 0.467 0.758
H 0.957 0.571 0.185
H 0.957 0.929 0.685
O 0.059 0.543 0.276
O 0.059 0.957 0.776
O 0.169 0.672 0.594
O 0.169 0.828 0.094
O 0.265 0.119 0.045
O 0.265 0.381 0.545
O 0.735 0.619 0.455
O 0.735 0.881 0.955
O 0.831 0.172 0.906
O 0.831 0.328 0.406
O 0.941 0.043 0.224
O 0.941 0.457 0.724
F 0.266 0.105 0.462
F 0.266 0.395 0.962
F 0.356 0.651 0.911
F 0.356 0.849 0.411
F 0.442 0.549 0.194
F 0.442 0.951 0.694
F 0.558 0.049 0.306
F 0.558 0.451 0.806
F 0.644 0.151 0.589
F 0.644 0.349 0.089
F 0.734 0.605 0.038
F 0.734 0.895 0.538

A plane-wave DFT calculation with PBE-GGA was carried out for GeHNF2 after structural relaxation.

Properties
The calculation puts the density at 4.8 g/cm³. Its uncorrected energy is -19.85 eV/cell. The value obtained for the density of states at the Fermi level is 0.14 states/eV/atom. The value obtained for the offset from the most stable computed form is 154 meV/atom. Its space group is P4/mmm, No. 123.

a = 3.161 Å, b = 3.161 Å, c = 4.346 Å
α = 90.00°, β = 90.00°, γ = 90.00°
Fractional positions:
Ge 0.000 0.000 0.000
H 0.500 0.500 0.500
N 0.500 0.500 0.000
F 0.000 0.500 0.500
F 0.500 0.000 0.500

A plane-wave DFT calculation with PBE-GGA was carried out for GeHNF2 after structural relaxation.

Properties
The calculation puts the density at 3.7 g/cm³. Its uncorrected energy is -20.62 eV/cell. The value obtained for the density of states at the Fermi level is 0.95 states/eV/atom. The value obtained for the offset from the most stable computed form is 0 meV/atom. Its space group is P4/mmm, No. 123.

a = 3.977 Å, b = 3.977 Å, c = 3.580 Å
α = 90.00°, β = 90.00°, γ = 90.00°
Fractional positions:
Ge 0.000 0.000 0.000
H 0.500 0.500 0.500
N 0.000 0.000 0.500
F 0.000 0.500 0.000
F 0.500 0.000 0.000